[1]
## GeBiCl3 (PBE)

Data for a geometry-optimized GeBiCl3 structure.

abc: 5.2412 5.2412 5.2412
angles: 90.00 90.00 90.00
Closest atoms and distances in Å follow each position.
Space group Pm-3m (No. 221)
One atom of each set of equivalent atoms:
Ge: 0.0000 0.0000 0.0000 x1  6 Cl 2.62
Bi: 0.5000 0.5000 0.5000 x1  12 Cl 3.71
Cl: 0.0000 0.0000 0.5000 x3  2 Ge 2.62

Values from the calculation:
Uncorrected formation energy   -0.24 eV per atom
ΔE to the lowest computed polymorph   0 meV per atom
Energy   -3.047 eV/atom

[2]
## Pr8Ag2Rh3 (PBE)

Data for a geometry-optimized Pr8Ag2Rh3 structure.

abc: 8.9954 5.0285 9.0076
angles: 90.00 110.43 90.00
Closest atoms and distances in Å follow each position.
Space group P2/m (No. 10)
One atom of each set of equivalent atoms:
Pr: 0.1144 0.0000 0.3846 x2  2 Rh 3.02-3.04, 2 Ag 3.16
Pr: 0.1384 0.5000 0.8704 x2  3 Rh 3.05, 2 Ag 3.23-3.27
Pr: 0.3693 0.5000 0.6382 x2  3 Rh 3.04-3.05, 2 Ag 3.23-3.27
Pr: 0.3843 0.0000 0.1163 x2  4 Rh 3.04-3.14, 2 Ag 3.26
Ag: 0.2442 0.5000 0.2560 x2  8 Pr 3.16-3.27
Rh: 0.2441 0.0000 0.7442 x2  8 Pr 3.02-3.14
Rh: 0.5000 0.5000 0.0000 x1  8 Pr 3.04-3.05

Values from the calculation:
Energy of formation from the pure elements   -28 kJ/mol of atoms
Energy   -5.369 eV/atom

[3]
## SiNiBAsAuC (PBE)

Data for a geometry-optimized SiNiBAsAuC structure.

abc: 3.6294 4.6027 5.7424
angles: 78.28 73.10 79.79
Closest atoms and distances in Å follow each position.
Space group P1 (No. 1)
One atom of each set of equivalent atoms:
Si: 0.0000 0.0000 0.0000 x1  1 C 2.02, 2 B 2.08-2.17
Ni: 0.1417 0.5254 0.8977 x1  2 C 1.90-1.96
B: 0.3886 0.1647 0.1289 x1  1 C 1.51
As: 0.7944 0.5077 0.5849 x1  1 C 2.08
Au: 0.2443 0.9896 0.5196 x1  1 B 2.17
C: 0.6492 0.3915 0.9676 x1  1 B 1.51

Values from the calculation:
Uncorrected formation energy   0.36 eV per atom
ΔE to the lowest computed polymorph   55 meV per atom
Energy   -5.482 eV/atom

[4]
## VPtI (PBE)

Data for a geometry-optimized VPtI structure.

abc: 4.0633 4.2145 9.4671
angles: 100.78 93.04 108.87
Closest atoms and distances in Å follow each position.
Space group P1 (No. 1)
One atom of each set of equivalent atoms:
V: 0.0000 0.0000 0.0000 x1  1 V 2.14
V: 0.1991 0.7003 0.8411 x1  1 V 2.14
Pt: 0.3888 0.6936 0.1131 x1  1 Pt 2.62, 4 V 2.64-2.80, 2 I 2.69-2.88
Pt: 0.6067 0.3350 0.9053 x1  6 V 2.58-2.72, 1 Pt 2.62, 1 I 2.72
I: 0.2901 0.2121 0.2992 x1  2 Pt 2.69-2.88, 1 V 2.87
I: 0.7891 0.9751 0.6707 x1  1 Pt 2.72, 3 V 2.89-3.05

Values from the calculation:
Uncorrected formation energy   -0.09 eV per atom
ΔE to the lowest computed polymorph   155 meV per atom
Energy   -5.663 eV/atom

[5]
## Tb4Ag3Sn (PBE)

Data for a geometry-optimized Tb4Ag3Sn structure.

abc: 5.2002 5.2002 14.8364
angles: 90.00 90.00 90.00
Closest atoms and distances in Å follow each position.
Space group I4/mmm (No. 139)
One atom of each set of equivalent atoms:
Tb: 0.0000 0.5000 0.1284 x8  6 Ag 3.14-3.22, 2 Sn 3.22
Ag: 0.0000 0.0000 0.0000 x2  8 Tb 3.22
Ag: 0.0000 0.0000 0.2469 x4  8 Tb 3.14-3.19
Sn: 0.0000 0.0000 0.5000 x2  8 Tb 3.22

Values from the calculation:
Energy of formation from the pure elements   -40 kJ/mol of atoms
Energy   -4.298 eV/atom

[6]
## NdSm2Dy3Te6 (PBE)

Data for a geometry-optimized NdSm2Dy3Te6 structure.

abc: 19.2705 4.3736 8.8893
angles: 90.00 104.09 90.00
Closest atoms and distances in Å follow each position.
Space group C2/m (No. 12)
One atom of each set of equivalent atoms:
Nd: 0.0000 0.0000 0.0000 x2  6 Te 3.17-3.18
Sm: 0.1659 0.5000 0.3314 x4  6 Te 3.13-3.16
Dy: 0.0000 0.0000 0.5000 x2  6 Te 3.07-3.09
Dy: 0.1651 0.5000 0.8325 x4  6 Te 3.06-3.09
Te: 0.0014 0.5000 0.7425 x4  3 Dy 3.06-3.07, 1 Sm 3.13, 2 Nd 3.17
Te: 0.1653 0.0000 0.5871 x4  3 Dy 3.09, 3 Sm 3.16
Te: 0.1701 0.0000 0.0792 x4  3 Dy 3.08, 2 Sm 3.15, 1 Nd 3.18

Values from the calculation:
Uncorrected formation energy   -1.34 eV per atom
Energy   -5.245 eV/atom